First-principles (PBE-GGA) data for a relaxed Np2MnCo3P4 crystal, as listed in Alexandria.

Properties
Total moment: 5.4 μB/f.u.

a b c (Å): 3.9378 3.9378 8.9583
angles (deg): 90.00 90.00 90.00
With the nearest neighbours (Å) after each atom.
Space group P-4m2 (No. 115)
One atom of each set of equivalent atoms:
Np: 0.0000 0.5000 0.2476 [2 per cell]  8 P 2.97, 2 Mn 3.00, 7 Co 3.00-3.23
Mn: 0.0000 0.0000 0.5000 [1 per cell]  4 P 2.32
Co: 0.0000 0.5000 0.8871 [2 per cell]  5 P 2.21-2.25
Co: 0.5000 0.5000 0.5000 [1 per cell]  4 P 2.32
P: 0.0000 0.0000 0.0000 [1 per cell]  4 Co 2.21
P: 0.0000 0.5000 0.6360 [2 per cell]  3 Co 2.25-2.32, 2 Mn 2.32
P: 0.5000 0.5000 0.0000 [1 per cell]  4 Co 2.21

First-principles (PBE-GGA) data for a relaxed TbTmAlTl crystal, as listed in Alexandria.

Properties
Total moment: 0.0 μB/f.u.

a b c (Å): 7.3899 7.3899 7.3899
angles (deg): 90.00 90.00 90.00
With the nearest neighbours (Å) after each atom.
Space group F-43m (No. 216)
One atom of each set of equivalent atoms:
Tb: 0.0000 0.0000 0.0000 [4 per cell]  4 Tl 3.20, 4 Al 3.20
Tm: 0.0000 0.0000 0.5000 [4 per cell]  4 Tl 3.20, 4 Al 3.20
Al: 0.2500 0.2500 0.2500 [4 per cell]  4 Tm 3.20, 4 Tb 3.20
Tl: 0.2500 0.2500 0.7500 [4 per cell]  4 Tb 3.20, 4 Tm 3.20

For each record above, in turn, the calculated energy of formation from the pure elements values are -0.74; -0.32 eV/atom.